Crystalline CeTaRu2 at its relaxed geometry. Source: the Alexandria database, functional PBE-GGA.

Cell and atoms, written as extended XYZ:
```
4
Lattice="3.149 0.000 0.000 0.000 3.149 0.000 0.000 0.000 7.314" Properties=species:S:1:pos:R:3 pbc="T T T"
Ce 0.000 0.000 0.000
Ta 0.000 0.000 3.657
Ru 1.575 1.575 2.129
Ru 1.575 1.575 5.186
```

Summary:
M_tot ... 0.003 μB per formula unit
Raw total energy ... -37.80 eV/cell
Crystal system ... tetragonal
SG ... P4/mmm, No. 123
Energy of formation ... -0.37 eV/atom